The following is a DFT calculation (PBE) of an optimized crystal structure of TlFeIr2.

abc: 9.1229 9.1229 9.1229
angles: 18.15 18.15 18.15
Sites, in units of the cell vectors:
Tl: 0.0000 0.0000 0.0000
Fe: 0.7543 0.7543 0.7543
Ir: 0.2420 0.2420 0.2420
Ir: 0.4950 0.4950 0.4950

Values from the calculation:
Its energy above the most stable polymorph in this dataset is 211 meV/atom. The value obtained for the formation enthalpy at 0 K is 515 meV per atom. For the density of states at the Fermi level, the calculation gives 5.155 states/eV per cell. The space-group type is R3m, No. 160.

---

The following is a DFT calculation (PBE) of an optimized crystal structure of CsScMnSe3.

abc: 9.4319 4.1164 10.2924
angles: 90.00 113.57 90.00
Sites, in units of the cell vectors:
Cs: 0.2257 0.2500 0.2492
Cs: 0.7743 0.7500 0.7508
Sc: 0.3350 0.7500 0.8688
Sc: 0.6650 0.2500 0.1312
Mn: 0.0869 0.2500 0.6161
Mn: 0.9131 0.7500 0.3839
Se: 0.1330 0.2500 0.8673
Se: 0.2086 0.7500 0.5559
Se: 0.4818 0.7500 0.1488
Se: 0.5182 0.2500 0.8512
Se: 0.7914 0.2500 0.4441
Se: 0.8670 0.7500 0.1327

Values from the calculation:
The calculation puts the uncorrected formation energy at -1.22 eV per atom. For the density of states at the Fermi level, the calculation gives 0.512 states/eV per cell. The space-group type is P2_1/m, No. 11.

---

The following is a DFT calculation (PBE) of an optimized crystal structure of GeAsHPd2.

abc: 4.7232 4.7232 5.0138
angles: 90.00 90.00 90.00
Sites, in units of the cell vectors:
Ge: 0.0000 0.0000 0.0000
As: 0.0000 0.0000 0.5000
H: 0.5000 0.5000 0.0000
Pd: 0.0000 0.5000 0.5000
Pd: 0.5000 0.0000 0.5000

Values from the calculation:
Its energy above the most stable polymorph in this dataset is 0 meV/atom. For the density of states at the Fermi level, the calculation gives 2.518 states/eV per cell. The space-group type is P4/mmm, No. 123.

---

The following is a DFT calculation (PBE) of an optimized crystal structure of BaBe2Cd.

abc: 4.2405 4.2405 6.4287
angles: 109.38 109.38 60.00
Sites, in units of the cell vectors:
Ba: 0.0000 0.0000 0.0000
Be: 0.1812 0.1812 0.5437
Be: 0.8188 0.8188 0.4563
Cd: 0.5000 0.5000 0.5000

Values from the calculation:
The value obtained for the formation enthalpy at 0 K is 188 meV per atom. For the density of states at the Fermi level, the calculation gives 2.030 states/eV per cell. The space-group type is C2/m, No. 12.